9
Lattice="-2.118 4.090 -2.553 2.199 -1.777 -4.671 -4.987 -1.662 1.476" Properties=species:S:1:pos:R:3 comment="AcMnIO6 | Alexandria | PBE with a Hubbard U | optimized geometry" vol_a3_per_atom=15.11 sg="No. 149" final_energy_ev_per_atom=-6.376 pbc="T T T"
Ac -2.592 -1.700 -0.573
O -1.973 -1.725 -4.302
O -3.431 0.440 -4.135
O 0.887 -0.112 -4.092
O -0.725 0.682 -5.992
O -0.930 2.344 -3.159
O -1.362 0.209 -1.711
I -1.059 2.045 -1.277
Mn -1.256 0.306 -3.899